Record 1
20
Lattice="5.2936 -4.5997 0.0000 5.2936 4.5997 0.0000 -3.5568 0.0000 5.4201" Properties=species:S:1:pos:R:3 comment="SrGe2BO6, optimized geometry, DFT PBE" energy_ev_per_atom=-6.742 pbc="T T T"
Sr 2.6259 3.0125 4.0651
Sr 4.4043 -3.0125 1.3550
Ge 0.0568 0.6039 4.7963
Ge 1.8352 -0.6039 2.0862
Ge 5.1950 0.6039 3.3339
Ge 6.9735 -0.6039 0.6238
B 4.4043 2.8570 1.3550
B 2.6259 -2.8570 4.0651
O -1.4685 0.8731 3.8404
O 4.2660 2.1094 0.0916
O 0.3099 -0.8731 1.1303
O 1.2673 0.6437 3.3022
O 4.5427 2.1094 2.6184
O 3.0457 -0.6437 0.5921
O 3.9846 0.6437 4.8280
O 2.4875 -2.1094 2.8017
O 5.7630 -0.6437 2.1180
O 6.7204 0.8731 4.2898
O 2.7643 -2.1094 5.3285
O 8.4988 -0.8731 1.5798


Record 2
52
Lattice="8.3947 0.0000 0.0000 0.0000 8.1880 0.0000 0.0000 0.0000 9.2743" Properties=species:S:1:pos:R:3 comment="SrGe2B2O8, optimized geometry, DFT PBE" energy_ev_per_atom=-7.155 pbc="T T T"
Sr 0.9125 2.0470 0.6457
Sr 3.2848 6.1410 5.2829
Sr 5.1098 2.0470 3.9915
Sr 7.4822 6.1410 8.6287
Ge 0.4551 0.4309 6.3903
Ge 0.4551 3.6631 6.3903
Ge 3.7422 4.5249 1.7531
Ge 3.7422 7.7571 1.7531
Ge 4.6524 0.4309 7.5212
Ge 4.6524 3.6631 7.5212
Ge 7.9396 4.5249 2.8840
Ge 7.9396 7.7571 2.8840
B 2.0049 0.7026 3.8643
B 2.0049 3.3914 3.8643
B 2.1924 4.7965 8.5015
B 2.1924 7.4854 8.5015
B 6.2023 0.7026 0.7728
B 6.2023 3.3914 0.7728
B 6.3897 4.7965 5.4100
B 6.3897 7.4854 5.4100
O 0.2392 6.1410 3.0369
O 0.8915 0.7017 2.9111
O 0.8915 3.3923 2.9111
O 1.0654 0.2154 8.0379
O 1.0654 3.8786 8.0379
O 1.6371 6.1410 8.6532
O 1.6443 0.0250 5.1601
O 1.6443 4.0690 5.1601
O 2.5530 4.1190 0.5230
O 2.5530 8.1630 0.5230
O 2.5603 2.0470 4.0160
O 3.1319 4.3094 3.4008
O 3.1319 7.9726 3.4008
O 3.3058 4.7957 7.5483
O 3.3058 7.4863 7.5483
O 3.9581 2.0470 7.6740
O 4.4365 6.1410 1.6003
O 5.0888 0.7017 1.7261
O 5.0888 3.3923 1.7261
O 5.2628 0.2154 5.8736
O 5.2628 3.8786 5.8736
O 5.8344 6.1410 5.2584
O 5.8417 0.0250 8.7514
O 5.8417 4.0690 8.7514
O 6.7503 4.1190 4.1142
O 6.7503 8.1630 4.1142
O 6.7576 2.0470 0.6212
O 7.3292 4.3094 1.2364
O 7.3292 7.9726 1.2364
O 7.5032 4.7957 6.3632
O 7.5032 7.4863 6.3632
O 8.1555 2.0470 6.2375


Record 3
5
Lattice="3.8072 0.0000 0.0000 0.0000 3.8072 0.0000 0.0000 0.0000 4.3907" Properties=species:S:1:pos:R:3 comment="GeBTeO2, optimized geometry, DFT PBE" energy_ev_per_atom=-4.722 pbc="T T T"
Ge 0.0000 0.0000 0.0000
B 0.0000 0.0000 2.1954
Te 1.9036 1.9036 2.1954
O 0.0000 1.9036 0.0000
O 1.9036 0.0000 0.0000


Record 4
12
Lattice="5.2281 0.0000 0.0000 -2.6140 4.5277 0.0000 0.0000 0.0000 6.2556" Properties=species:S:1:pos:R:3 comment="ThGe2BO8, optimized geometry, DFT PBE" energy_ev_per_atom=-6.974 pbc="T T T"
Th 0.0000 0.0000 0.0000
Ge 0.0000 3.0184 1.6788
Ge 2.6140 1.5092 4.5767
B 0.0000 0.0000 3.1278
O 0.0000 1.3088 2.0726
O -1.4806 3.8733 2.0726
O 1.1334 0.6544 4.1829
O 0.0000 3.0184 6.1744
O 2.6140 1.5092 0.0812
O 1.4806 3.8733 2.0726
O 4.0946 0.6544 4.1829
O 2.6140 3.2189 4.1829


Record 5
5
Lattice="3.7056 0.0000 0.0000 0.0000 3.7056 0.0000 0.0000 0.0000 4.0855" Properties=species:S:1:pos:R:3 comment="TiGeB2O, optimized geometry, DFT PBE" energy_ev_per_atom=-5.392 pbc="T T T"
Ti 0.0000 0.0000 0.0000
Ge 1.8528 1.8528 0.0000
B 0.0000 1.8528 2.0427
B 1.8528 0.0000 2.0427
O 1.8528 1.8528 2.0427


Record 6
20
Lattice="4.8978 -5.4551 0.0000 4.8978 5.4551 0.0000 -2.4901 0.0000 5.2704" Properties=species:S:1:pos:R:3 comment="TlGe2BO6, optimized geometry, DFT PBE" energy_ev_per_atom=-6.453 pbc="T T T"
Tl 3.0302 3.6877 3.9528
Tl 4.2753 -3.6877 1.3176
Ge 0.3493 0.9519 4.7872
Ge 1.5944 -0.9519 2.1520
Ge 5.7111 0.9519 3.1184
Ge 6.9562 -0.9519 0.4832
B 4.2753 2.4842 1.3176
B 3.0302 -2.4842 3.9528
O 3.0241 3.2772 1.3038
O 1.8500 0.2012 0.8014
O 0.6049 -0.2012 3.4366
O 4.3544 1.6263 0.0916
O 5.5264 3.2772 1.3313
O 4.1961 1.6263 2.5436
O 3.1093 -1.6263 2.7267
O 1.7791 -3.2772 3.9390
O 2.9511 -1.6263 5.1788
O 6.7005 0.2012 1.8338
O 5.4555 -0.2012 4.4690
O 4.2813 -3.2772 3.9665


Record 7
20
Lattice="4.7753 2.7570 2.7180 -4.7753 2.7570 2.7180 0.0000 -5.5140 2.7180" Properties=species:S:1:pos:R:3 comment="TlGe3B4O12, optimized geometry, DFT PBE" energy_ev_per_atom=-6.867 pbc="T T T"
Tl 0.0000 0.0000 0.0000
Ge -2.6137 -0.9870 2.7180
Ge -2.6137 0.9870 5.4360
Ge 0.4521 2.7570 2.7180
B -2.1226 -3.6764 4.0770
B 0.0000 0.0000 4.0770
B -2.1226 3.6764 4.0770
B 4.2451 0.0000 4.0770
O -1.1259 -1.6123 1.7981
O -3.8733 0.0000 4.0770
O -0.8333 1.7812 1.7981
O -1.4030 0.0000 4.0770
O 1.9592 -0.1689 1.7981
O 1.9366 -3.3544 4.0770
O 0.7015 -1.2150 4.0770
O -0.8333 -1.7812 6.3560
O 0.7015 1.2150 4.0770
O -1.1259 1.6123 6.3560
O 1.9366 3.3544 4.0770
O 1.9592 0.1689 6.3560


Record 8
5
Lattice="3.8891 0.0000 0.0000 0.0000 3.8891 0.0000 0.0000 0.0000 5.1622" Properties=species:S:1:pos:R:3 comment="TlGeB2O, optimized geometry, DFT PBE" energy_ev_per_atom=-3.615 pbc="T T T"
Tl 0.0000 0.0000 0.0000
Ge 1.9446 1.9446 0.0000
B 0.0000 1.9446 2.5811
B 1.9446 0.0000 2.5811
O 0.0000 0.0000 2.5811


| no. | formation energy (no corrections) (eV per atom) |
| --- | --- |
| 1 | -2.0073 |
| 2 | -2.2365 |
| 3 | 0.1483 |
| 4 | -1.7242 |
| 5 | 0.7731 |
| 6 | -1.6498 |
| 7 | -1.7458 |
| 8 | 1.4439 |